# 1
Here is a relaxed Cs2NaTl2 crystal from Alexandria via LeMat-Bulk. Energies are from PBE.

Results
DOS(E_F) = 9.7 states/eV/cell
Energy of formation = -0.0347 eV/atom

Structure (CIF):
```
data_Cs2NaTl2
_chemical_formula_sum 'Cs8 Na4 Tl8'
_cell_length_a 12.0779
_cell_length_b 7.6466
_cell_length_c 11.3180
_cell_angle_alpha 90.00
_cell_angle_beta 100.84
_cell_angle_gamma 90.00
_symmetry_space_group_name_H-M 'C 1 2/c 1'
_symmetry_Int_Tables_number 15
loop_
_symmetry_equiv_pos_as_xyz
'x,y,z'
'-x,-y,-z'
'-x,y,-z+1/2'
'x,-y,z+1/2'
'x+1/2,y+1/2,z'
'-x+1/2,-y+1/2,-z'
'-x+1/2,y+1/2,-z+1/2'
'x+1/2,-y+1/2,z+1/2'
loop_
_atom_site_label
_atom_site_fract_x
_atom_site_fract_y
_atom_site_fract_z
Cs1 0.1552 0.0921 0.1582
Na1 0.0000 0.4136 0.7500
Tl1 0.1078 0.3941 0.5039
```


# 2
Here is a relaxed Cs2Na5Tl crystal from Alexandria via LeMat-Bulk. Energies are from PBE.

Results
DOS(E_F) = 9.2 states/eV/cell
Energy of formation = 0.0097 eV/atom

Structure (CIF):
```
data_Cs2Na5Tl
_chemical_formula_sum 'Cs4 Na10 Tl2'
_cell_length_a 7.2959
_cell_length_b 12.4764
_cell_length_c 8.6549
_cell_angle_alpha 90.00
_cell_angle_beta 104.19
_cell_angle_gamma 90.00
_symmetry_space_group_name_H-M 'C 1 m 1'
_symmetry_Int_Tables_number 8
loop_
_symmetry_equiv_pos_as_xyz
'x,y,z'
'x,-y,z'
'x+1/2,y+1/2,z'
'x+1/2,-y+1/2,z'
loop_
_atom_site_label
_atom_site_fract_x
_atom_site_fract_y
_atom_site_fract_z
Cs1 0.0000 0.1692 0.0000
Na1 0.0733 0.5000 0.2457
Na2 0.1317 0.0000 0.4490
Na3 0.4404 0.0000 0.8085
Na4 0.4793 0.2314 0.5213
Tl1 0.2729 0.5000 0.6132
```


# 3
Here is a relaxed Cs2NaTl3 crystal from Alexandria via LeMat-Bulk. Energies are from PBE.

Results
DOS(E_F) = 17.8 states/eV/cell
Energy of formation = -0.0634 eV/atom

Structure (CIF):
```
data_Cs2NaTl3
_chemical_formula_sum 'Cs8 Na4 Tl12'
_cell_length_a 16.9862
_cell_length_b 7.3436
_cell_length_c 8.6469
_cell_angle_alpha 90.00
_cell_angle_beta 105.06
_cell_angle_gamma 90.00
_symmetry_space_group_name_H-M 'C 1 2/c 1'
_symmetry_Int_Tables_number 15
loop_
_symmetry_equiv_pos_as_xyz
'x,y,z'
'-x,-y,-z'
'-x,y,-z+1/2'
'x,-y,z+1/2'
'x+1/2,y+1/2,z'
'-x+1/2,-y+1/2,-z'
'-x+1/2,y+1/2,-z+1/2'
'x+1/2,-y+1/2,z+1/2'
loop_
_atom_site_label
_atom_site_fract_x
_atom_site_fract_y
_atom_site_fract_z
Cs1 0.1894 0.0051 0.0895
Na1 0.0000 0.2344 0.2500
Tl1 0.0000 0.2542 0.7500
Tl2 0.1020 0.4971 0.5544
```